Record 1
DFT (PBE) results for a relaxed Tb2CeHo3Te6 crystal.

Results
The space-group type is C2/m. The crystal system is monoclinic. The uncorrected formation energy comes out at -1.292 eV/atom. The density of states at the Fermi level is 12.24 states/eV/f.u. The total magnetization comes out at 0.1104 μB per atom.

abc: 4.3438 8.8139 9.7945
angles: 103.43 102.81 90.00
Last column: nearest neighbours and their distance in Å.
Sites, in units of the cell vectors:
Tb (0.8361, 0.6717, 0.6723)  6 Te 3.06-3.13
Tb (0.1639, 0.3283, 0.3277)  6 Te 3.06-3.13
Ce (0.5000, 0.0000, 0.0000)  6 Te 3.15-3.17
Ho (0.5000, 0.5000, 0.0000)  6 Te 3.04-3.11
Ho (0.8354, 0.1668, 0.6708)  6 Te 3.04-3.10
Ho (0.1646, 0.8332, 0.3292)  6 Te 3.04-3.10
Te (0.3292, 0.9176, 0.6585)  3 Ho 3.05-3.07, 2 Tb 3.09, 1 Ce 3.17
Te (0.6674, 0.5845, 0.3348)  3 Ho 3.10-3.11, 3 Tb 3.12-3.13
Te (0.6708, 0.0824, 0.3415)  3 Ho 3.05-3.07, 2 Tb 3.09, 1 Ce 3.17
Te (0.9991, 0.2586, 0.9983)  3 Ho 3.04, 1 Tb 3.06, 2 Ce 3.15
Te (0.0009, 0.7414, 0.0017)  3 Ho 3.04, 1 Tb 3.06, 2 Ce 3.15
Te (0.3326, 0.4155, 0.6652)  3 Ho 3.10-3.11, 3 Tb 3.12-3.13

***

Record 2
DFT (PBE) results for a relaxed TbCe4Ho3Te8 crystal.

Results
The space-group type is R-3m. The crystal system is trigonal. The uncorrected formation energy comes out at -1.328 eV/atom. The density of states at the Fermi level is 29.68 states/eV/f.u. The total magnetization comes out at 0.3142 μB per atom.

abc: 8.7569 8.9181 8.7569
angles: 119.40 120.00 90.00
Last column: nearest neighbours and their distance in Å.
Sites, in units of the cell vectors:
Tb (0.0000, 0.5000, 0.0000)  6 Te 3.08
Ce (0.5000, 0.0000, 0.0000)  6 Te 3.17
Ce (0.5000, 0.0000, 0.5000)  6 Te 3.18
Ce (0.0000, 0.0000, 0.0000)  6 Te 3.18
Ce (0.0000, 0.0000, 0.5000)  6 Te 3.18
Ho (0.5000, 0.5000, 0.0000)  6 Te 3.07
Ho (0.5000, 0.5000, 0.5000)  6 Te 3.07
Ho (0.0000, 0.5000, 0.5000)  6 Te 3.07
Te (0.2468, 0.7380, 0.9912)  2 Ho 3.07, 1 Tb 3.08, 3 Ce 3.17-3.18
Te (0.2468, 0.7380, 0.4935)  2 Ho 3.07, 1 Tb 3.08, 3 Ce 3.17-3.18
Te (0.2544, 0.2631, 0.5087)  3 Ho 3.07, 3 Ce 3.18
Te (0.7445, 0.7380, 0.9912)  2 Ho 3.07, 1 Tb 3.08, 3 Ce 3.17-3.18
Te (0.2555, 0.2620, 0.0088)  2 Ho 3.07, 1 Tb 3.08, 3 Ce 3.17-3.18
Te (0.7456, 0.7369, 0.4913)  3 Ho 3.07, 3 Ce 3.18
Te (0.7532, 0.2620, 0.5065)  2 Ho 3.07, 1 Tb 3.08, 3 Ce 3.17-3.18
Te (0.7532, 0.2620, 0.0088)  2 Ho 3.07, 1 Tb 3.08, 3 Ce 3.17-3.18

***

Record 3
DFT (PBE) results for a relaxed TbCe2HoTe5 crystal.

Results
The space-group type is P4/mmm. The crystal system is tetragonal. The uncorrected formation energy comes out at -0.797 eV/atom. The density of states at the Fermi level is 19.38 states/eV/f.u. The total magnetization comes out at 0.3816 μB per atom.

abc: 5.5531 5.5531 11.5459
angles: 90.00 90.00 90.00
Last column: nearest neighbours and their distance in Å.
Sites, in units of the cell vectors:
Tb (0.0000, 0.0000, 0.5000)  6 Te 2.78-2.96
Ce (0.5000, 0.5000, 0.3219)  5 Te 3.46-3.72
Ce (0.5000, 0.5000, 0.6781)  5 Te 3.46-3.72
Ho (0.0000, 0.0000, 0.0000)  2 Te 2.81
Te (0.0000, 0.5000, 0.5000)  2 Tb 2.78
Te (0.5000, 0.0000, 0.5000)  2 Tb 2.78
Te (0.0000, 0.0000, 0.7563)  1 Ho 2.81, 1 Tb 2.96
Te (0.0000, 0.0000, 0.2437)  1 Ho 2.81, 1 Tb 2.96
Te (0.5000, 0.5000, 0.0000)  2 Ce 3.72, 4 Ho 3.93

***

Copy entry 2 word for word.
DFT (PBE) results for a relaxed TbCe4Ho3Te8 crystal.

Results
The space-group type is R-3m. The crystal system is trigonal. The uncorrected formation energy comes out at -1.328 eV/atom. The density of states at the Fermi level is 29.68 states/eV/f.u. The total magnetization comes out at 0.3142 μB per atom.

abc: 8.7569 8.9181 8.7569
angles: 119.40 120.00 90.00
Last column: nearest neighbours and their distance in Å.
Sites, in units of the cell vectors:
Tb (0.0000, 0.5000, 0.0000)  6 Te 3.08
Ce (0.5000, 0.0000, 0.0000)  6 Te 3.17
Ce (0.5000, 0.0000, 0.5000)  6 Te 3.18
Ce (0.0000, 0.0000, 0.0000)  6 Te 3.18
Ce (0.0000, 0.0000, 0.5000)  6 Te 3.18
Ho (0.5000, 0.5000, 0.0000)  6 Te 3.07
Ho (0.5000, 0.5000, 0.5000)  6 Te 3.07
Ho (0.0000, 0.5000, 0.5000)  6 Te 3.07
Te (0.2468, 0.7380, 0.9912)  2 Ho 3.07, 1 Tb 3.08, 3 Ce 3.17-3.18
Te (0.2468, 0.7380, 0.4935)  2 Ho 3.07, 1 Tb 3.08, 3 Ce 3.17-3.18
Te (0.2544, 0.2631, 0.5087)  3 Ho 3.07, 3 Ce 3.18
Te (0.7445, 0.7380, 0.9912)  2 Ho 3.07, 1 Tb 3.08, 3 Ce 3.17-3.18
Te (0.2555, 0.2620, 0.0088)  2 Ho 3.07, 1 Tb 3.08, 3 Ce 3.17-3.18
Te (0.7456, 0.7369, 0.4913)  3 Ho 3.07, 3 Ce 3.18
Te (0.7532, 0.2620, 0.5065)  2 Ho 3.07, 1 Tb 3.08, 3 Ce 3.17-3.18
Te (0.7532, 0.2620, 0.0088)  2 Ho 3.07, 1 Tb 3.08, 3 Ce 3.17-3.18